Entry 1:
Sc6Co16Si7 SCAN single point on PBEsol structure; E_tot = -15.478 eV per atom; space group = No. 225; uncorrected formation energy = -568 meV/atom; size of the total moment = 5.83 μB per formula unit
1.0
-1.806 -6.948 3.420
5.375 -3.718 4.529
-1.033 -0.406 7.874
Sc Co Si
6 16 7
Direct
0.288 0.288 0.712
0.712 0.288 0.712
0.712 0.288 0.288
0.712 0.712 0.288
0.288 0.712 0.288
0.288 0.712 0.712
0.880 0.361 0.880
0.880 0.880 0.361
0.880 0.880 0.880
0.361 0.880 0.880
0.120 0.639 0.120
0.120 0.120 0.639
0.120 0.120 0.120
0.639 0.120 0.120
0.674 0.978 0.674
0.674 0.674 0.978
0.674 0.674 0.674
0.978 0.674 0.674
0.326 0.022 0.326
0.326 0.326 0.022
0.326 0.326 0.326
0.022 0.326 0.326
0.000 0.000 0.000
0.500 0.500 0.000
0.000 0.500 0.000
0.000 0.500 0.500
0.000 0.000 0.500
0.500 0.000 0.500
0.500 0.000 0.000



Entry 2:
Sc2CoSi SCAN single point on PBEsol structure; E_tot = -13.607 eV per atom; space group = No. 166; uncorrected formation energy = 342 meV/atom; size of the total moment = 0.00 μB per formula unit
1.0
-1.981 -0.946 -2.181
0.266 -2.838 -1.206
-6.013 -4.461 5.202
Sc Si Co
2 1 1
Direct
0.899 0.899 0.303
0.101 0.101 0.697
0.000 0.000 0.000
0.500 0.500 0.500